# 1
# YSc3Ag | the Alexandria database | PBE | optimized geometry
data_YSc3Ag
_chemical_formula_sum 'Y4 Sc12 Ag4'
_cell_length_a 6.4318
_cell_length_b 9.0746
_cell_length_c 8.6109
_cell_angle_alpha 90.00
_cell_angle_beta 90.00
_cell_angle_gamma 90.00
_symmetry_space_group_name_H-M 'P n m a'
_symmetry_Int_Tables_number 62
loop_
_symmetry_equiv_pos_as_xyz
'x,y,z'
'-x,-y,-z'
'-x+1/2,-y,z+1/2'
'x+1/2,y,-z+1/2'
'x+1/2,-y+1/2,-z+1/2'
'-x+1/2,y+1/2,z+1/2'
'-x,y+1/2,-z'
'x,-y+1/2,z'
loop_
_atom_site_label
_atom_site_fract_x
_atom_site_fract_y
_atom_site_fract_z
Y1 0.2243 0.2500 0.1456
Sc1 0.1086 0.0531 0.8301
Sc2 0.2401 0.7500 0.0232
Ag1 0.0000 0.0000 0.5000
# Theoretical density: 4.4 g cm⁻³
# Total DFT energy (no corrections): -5.670 eV per atom
# ΔE to the lowest computed polymorph: 0.0 meV/atom
# Formation enthalpy at 0 K: -0.008 eV per atom



# 2
# DyMgScAg | the Alexandria database | PBE | optimized geometry
data_DyMgScAg
_chemical_formula_sum 'Dy4 Mg4 Sc4 Ag4'
_cell_length_a 7.2176
_cell_length_b 7.2176
_cell_length_c 7.2176
_cell_angle_alpha 90.00
_cell_angle_beta 90.00
_cell_angle_gamma 90.00
_symmetry_space_group_name_H-M 'F -4 3 m'
_symmetry_Int_Tables_number 216
_symmetry_space_group_name_Hall 'F -4 2 3'
loop_
_atom_site_label
_atom_site_fract_x
_atom_site_fract_y
_atom_site_fract_z
Dy1 0.0000 0.0000 0.0000
Mg1 0.2500 0.2500 0.2500
Sc1 0.0000 0.0000 0.5000
Ag1 0.2500 0.2500 0.7500
# Theoretical density: 6.0 g cm⁻³
# Total DFT energy (no corrections): -3.965 eV per atom
# ΔE to the lowest computed polymorph: 42.1 meV/atom
# Formation enthalpy at 0 K: -0.120 eV per atom



no.,M_tot (μB/cell)
1,0.001
2,0.002